Model w:
Material: Ti2SnC
Method: DFT, meta-GGA SCAN
State: PBEsol geometry

Properties
Spin magnetization, Bohr magnetons per cell: 0.0
DOS(E_F), states/eV/f.u.: 1.269
Crystal system: hexagonal

Cell and atoms, written as CIF:
```
data_Ti2SnC
_symmetry_space_group_name_H-M 'P 63/m m c'
_symmetry_Int_Tables_number 194
_symmetry_space_group_name_Hall '-P 6c 2c'
_cell_length_a 3.1408
_cell_length_b 3.1408
_cell_length_c 13.6257
_cell_angle_alpha 90.00
_cell_angle_beta 90.00
_cell_angle_gamma 120.00
loop_
_atom_site_label
_atom_site_type_symbol
_atom_site_fract_x
_atom_site_fract_y
_atom_site_fract_z
_atom_site_occupancy
Ti1 Ti 0.3333 0.6667 0.0813 1
Sn1 Sn 0.3333 0.6667 0.7500 1
C1 C 0.0000 0.0000 0.0000 1
```

---

Model x:
Material: Ti2SnC
Method: DFT, meta-GGA SCAN
State: PBEsol geometry

Properties
Spin magnetization, Bohr magnetons per cell: 0.0
DOS(E_F), states/eV/f.u.: 5.717
Crystal system: cubic

Cell and atoms, written as CIF:
```
data_Ti2SnC
_symmetry_space_group_name_H-M 'F m -3 m'
_symmetry_Int_Tables_number 225
_symmetry_space_group_name_Hall '-F 4 2 3'
_cell_length_a 6.1989
_cell_length_b 6.1989
_cell_length_c 6.1989
_cell_angle_alpha 90.00
_cell_angle_beta 90.00
_cell_angle_gamma 90.00
loop_
_atom_site_label
_atom_site_type_symbol
_atom_site_fract_x
_atom_site_fract_y
_atom_site_fract_z
_atom_site_occupancy
Ti1 Ti 0.2500 0.2500 0.2500 1
Sn1 Sn 0.0000 0.0000 0.0000 1
C1 C 0.0000 0.0000 0.5000 1
```

---

Out of the structures above, which one is the most stable? Solution: model w.